(1)
Entry from Alexandria via LeMat-Bulk: crystalline YRe2Sb at its relaxed geometry (GGA-PBE). Values from VASP.

Properties
* uncorrected formation energy: 0.059 eV/atom
* total magnetic moment: 0.00 μB per cell
* symmetry: P4mm (99)

Quantum ESPRESSO input file:
```
&SYSTEM
  ibrav = 0, nat = 4, ntyp = 3
/
ATOMIC_SPECIES
Y 88.91 Y.upf
Re 186.21 Re.upf
Sb 121.76 Sb.upf
CELL_PARAMETERS angstrom
3.160 0.000 0.000
0.000 3.160 0.000
0.000 0.000 8.032
ATOMIC_POSITIONS angstrom
Y 0.000 0.000 0.000
Re 0.000 0.000 3.512
Re 1.580 1.580 2.031
Sb 1.580 1.580 5.341
```

(2)
Entry from Alexandria via LeMat-Bulk: crystalline BaHoRh at its relaxed geometry (GGA-PBE). Values from VASP.

Properties
* uncorrected energy: -5.062 eV/atom
* total magnetic moment: 0.00 μB per cell
* symmetry: C2/m (12)

Quantum ESPRESSO input file:
```
&SYSTEM
  ibrav = 0, nat = 12, ntyp = 3
/
ATOMIC_SPECIES
Ba 137.33 Ba.upf
Ho 164.93 Ho.upf
Rh 102.91 Rh.upf
CELL_PARAMETERS angstrom
11.246 -2.515 0.000
11.246 2.515 0.000
-0.569 0.000 7.645
ATOMIC_POSITIONS angstrom
Ba 1.666 0.000 2.324
Ba 9.047 0.000 1.343
Ba 12.877 0.000 6.303
Ba 20.258 0.000 5.321
Ho 4.476 0.000 4.659
Ho 5.184 0.000 0.985
Ho 16.740 0.000 6.660
Ho 17.448 0.000 2.986
Rh 6.574 0.000 6.453
Rh 7.065 0.000 3.680
Rh 14.859 0.000 3.965
Rh 15.350 0.000 1.193
```

(3)
Entry from Alexandria via LeMat-Bulk: crystalline Na2MoPN4 at its relaxed geometry (GGA-PBE). Values from VASP.

Properties
* uncorrected formation energy: -0.421 eV/atom
* total magnetic moment: 0.99 μB per cell
* symmetry: I-4 (82)

Quantum ESPRESSO input file:
```
&SYSTEM
  ibrav = 0, nat = 8, ntyp = 4
/
ATOMIC_SPECIES
Na 22.99 Na.upf
Mo 95.94 Mo.upf
P 30.97 P.upf
N 14.01 N.upf
CELL_PARAMETERS angstrom
-2.583 2.583 4.075
2.583 -2.583 4.075
2.583 2.583 -4.075
ATOMIC_POSITIONS angstrom
Na 0.000 0.000 0.000
Na 0.000 2.583 2.038
Mo 2.583 0.000 2.038
P 0.000 0.000 4.075
N 1.184 -0.708 3.149
N 1.875 1.398 0.926
N 1.398 3.290 -0.926
N 0.708 1.184 5.002
```

(4)
Entry from Alexandria via LeMat-Bulk: crystalline MgPdI2 at its relaxed geometry (GGA-PBE). Values from VASP.

Properties
* uncorrected formation energy: -0.392 eV/atom
* total magnetic moment: 0.00 μB per cell
* symmetry: I-42d (122)

Quantum ESPRESSO input file:
```
&SYSTEM
  ibrav = 0, nat = 8, ntyp = 3
/
ATOMIC_SPECIES
Mg 24.30 Mg.upf
Pd 106.42 Pd.upf
I 126.90 I.upf
CELL_PARAMETERS angstrom
-3.181 3.181 6.430
3.181 -3.181 6.430
3.181 3.181 -6.430
ATOMIC_POSITIONS angstrom
Mg 0.000 0.000 0.000
Mg 0.000 3.181 3.215
Pd 3.181 0.000 3.215
Pd 0.000 0.000 6.430
I 1.590 -1.549 4.822
I 1.632 1.590 1.607
I 1.590 4.730 -1.607
I 1.549 1.590 8.037
```

Copy entry 4 word for word.
Entry from Alexandria via LeMat-Bulk: crystalline MgPdI2 at its relaxed geometry (GGA-PBE). Values from VASP.

Properties
* uncorrected formation energy: -0.392 eV/atom
* total magnetic moment: 0.00 μB per cell
* symmetry: I-42d (122)

Quantum ESPRESSO input file:
```
&SYSTEM
  ibrav = 0, nat = 8, ntyp = 3
/
ATOMIC_SPECIES
Mg 24.30 Mg.upf
Pd 106.42 Pd.upf
I 126.90 I.upf
CELL_PARAMETERS angstrom
-3.181 3.181 6.430
3.181 -3.181 6.430
3.181 3.181 -6.430
ATOMIC_POSITIONS angstrom
Mg 0.000 0.000 0.000
Mg 0.000 3.181 3.215
Pd 3.181 0.000 3.215
Pd 0.000 0.000 6.430
I 1.590 -1.549 4.822
I 1.632 1.590 1.607
I 1.590 4.730 -1.607
I 1.549 1.590 8.037
```

- Number 3 is which compound?
  Na2MoPN4

- What is the formula in the second record?
  BaHoRh

Copy entry 2 word for word.
Entry from Alexandria via LeMat-Bulk: crystalline BaHoRh at its relaxed geometry (GGA-PBE). Values from VASP.

Properties
* uncorrected energy: -5.062 eV/atom
* total magnetic moment: 0.00 μB per cell
* symmetry: C2/m (12)

Quantum ESPRESSO input file:
```
&SYSTEM
  ibrav = 0, nat = 12, ntyp = 3
/
ATOMIC_SPECIES
Ba 137.33 Ba.upf
Ho 164.93 Ho.upf
Rh 102.91 Rh.upf
CELL_PARAMETERS angstrom
11.246 -2.515 0.000
11.246 2.515 0.000
-0.569 0.000 7.645
ATOMIC_POSITIONS angstrom
Ba 1.666 0.000 2.324
Ba 9.047 0.000 1.343
Ba 12.877 0.000 6.303
Ba 20.258 0.000 5.321
Ho 4.476 0.000 4.659
Ho 5.184 0.000 0.985
Ho 16.740 0.000 6.660
Ho 17.448 0.000 2.986
Rh 6.574 0.000 6.453
Rh 7.065 0.000 3.680
Rh 14.859 0.000 3.965
Rh 15.350 0.000 1.193
```